Entry 1:
# Rb3VHg GGA-PBE optimized geometry
# spin magnetization: 5.56 μB/f.u.
# E_tot: -8.5 eV per cell
# space-group type: Pm-3m, No. 221
data_Rb3VHg
_chemical_formula_sum 'Rb3 V1 Hg1'
_cell_length_a 6.961
_cell_length_b 6.961
_cell_length_c 6.961
_cell_angle_alpha 90.00
_cell_angle_beta 90.00
_cell_angle_gamma 90.00
_space_group_name_H-M_alt 'P 1'
_space_group_IT_number 1
loop_
_space_group_symop_operation_xyz
'x,y,z'
loop_
_atom_site_label
_atom_site_fract_x
_atom_site_fract_y
_atom_site_fract_z
Rb1 0.000 0.000 0.500
Rb2 0.000 0.500 0.000
Rb3 0.500 0.000 0.000
V1 0.000 0.000 0.000
Hg1 0.500 0.500 0.500

Entry 2:
# BeCdN2 GGA-PBE optimized geometry
# energy above the most stable polymorph in this dataset: 1030.9 meV per atom
# spin magnetization: 0.00 μB/f.u.
# space-group type: Fm-3m, No. 225
data_BeCdN2
_chemical_formula_sum 'Be4 Cd4 N8'
_cell_length_a 5.488
_cell_length_b 5.488
_cell_length_c 5.488
_cell_angle_alpha 90.00
_cell_angle_beta 90.00
_cell_angle_gamma 90.00
_space_group_name_H-M_alt 'P 1'
_space_group_IT_number 1
loop_
_space_group_symop_operation_xyz
'x,y,z'
loop_
_atom_site_label
_atom_site_fract_x
_atom_site_fract_y
_atom_site_fract_z
Be1 0.000 0.000 0.000
Be2 0.000 0.500 0.500
Be3 0.500 0.000 0.500
Be4 0.500 0.500 0.000
Cd1 0.000 0.000 0.500
Cd2 0.000 0.500 0.000
Cd3 0.500 0.000 0.000
Cd4 0.500 0.500 0.500
N1 0.250 0.250 0.250
N2 0.250 0.250 0.750
N3 0.250 0.750 0.250
N4 0.250 0.750 0.750
N5 0.750 0.250 0.250
N6 0.750 0.250 0.750
N7 0.750 0.750 0.250
N8 0.750 0.750 0.750

Entry 3:
# RbAgH GGA-PBE optimized geometry
# spin magnetization: 0.00 μB/f.u.
# E_tot: -14.2 eV per cell
# space-group type: P1, No. 1
data_RbAgH
_chemical_formula_sum 'Rb2 Ag2 H2'
_cell_length_a 5.095
_cell_length_b 5.450
_cell_length_c 6.542
_cell_angle_alpha 90.57
_cell_angle_beta 112.77
_cell_angle_gamma 90.41
_space_group_name_H-M_alt 'P 1'
_space_group_IT_number 1
loop_
_space_group_symop_operation_xyz
'x,y,z'
loop_
_atom_site_label
_atom_site_fract_x
_atom_site_fract_y
_atom_site_fract_z
Rb1 0.000 0.000 0.000
Rb2 0.315 0.511 0.629
Ag1 0.618 0.485 0.237
Ag2 0.696 0.018 0.391
H1 0.536 0.760 0.076
H2 0.783 0.751 0.561

Entry 4:
# LaGdScZn GGA-PBE optimized geometry
# spin magnetization: 7.59 μB/f.u.
# E_tot: -106.7 eV per cell
# space-group type: F-43m, No. 216
data_LaGdScZn
_chemical_formula_sum 'La4 Gd4 Sc4 Zn4'
_cell_length_a 7.556
_cell_length_b 7.556
_cell_length_c 7.556
_cell_angle_alpha 90.00
_cell_angle_beta 90.00
_cell_angle_gamma 90.00
_space_group_name_H-M_alt 'P 1'
_space_group_IT_number 1
loop_
_space_group_symop_operation_xyz
'x,y,z'
loop_
_atom_site_label
_atom_site_fract_x
_atom_site_fract_y
_atom_site_fract_z
La1 0.000 0.000 0.000
La2 0.000 0.500 0.500
La3 0.500 0.000 0.500
La4 0.500 0.500 0.000
Gd1 0.000 0.000 0.500
Gd2 0.000 0.500 0.000
Gd3 0.500 0.000 0.000
Gd4 0.500 0.500 0.500
Sc1 0.250 0.250 0.250
Sc2 0.250 0.750 0.750
Sc3 0.750 0.250 0.750
Sc4 0.750 0.750 0.250
Zn1 0.250 0.250 0.750
Zn2 0.250 0.750 0.250
Zn3 0.750 0.250 0.250
Zn4 0.750 0.750 0.750